# 1
The following is a DFT calculation (PBE) of a relaxed structure of Li2LaPbO.

The structure in CIF format:
```
data_Li2LaPbO
_cell_length_a 4.7809
_cell_length_b 4.7809
_cell_length_c 4.6283
_cell_angle_alpha 90.00
_cell_angle_beta 90.00
_cell_angle_gamma 90.00
_space_group_name_H-M_alt 'P 4/m m m'
_space_group_IT_number 123
_space_group_name_Hall '-P 4 2'
loop_
_atom_site_label
_atom_site_fract_x
_atom_site_fract_y
_atom_site_fract_z
_atom_site_occupancy
Li1 0.0000 0.5000 0.0000 1
La1 0.0000 0.0000 0.5000 1
Pb1 0.5000 0.5000 0.5000 1
O1 0.0000 0.0000 0.0000 1
```

raw formation energy = -603 kJ/mol of formula units


# 2
The following is a DFT calculation (PBE) of a relaxed structure of LiLaPb2O4.

The structure in CIF format:
```
data_LiLaPb2O4
_cell_length_a 3.4861
_cell_length_b 11.7883
_cell_length_c 12.4494
_cell_angle_alpha 90.00
_cell_angle_beta 90.00
_cell_angle_gamma 90.00
_space_group_name_H-M_alt 'C m c m'
_space_group_IT_number 63
_space_group_name_Hall '-C 2c 2'
loop_
_atom_site_label
_atom_site_fract_x
_atom_site_fract_y
_atom_site_fract_z
_atom_site_occupancy
Li1 0.0000 0.1751 0.2500 1
La1 0.0000 0.0990 0.7500 1
Pb1 0.0000 0.3660 0.5478 1
O1 0.0000 0.0000 0.0000 1
O2 0.0000 0.3033 0.1413 1
O3 0.0000 0.4418 0.7500 1
```

raw formation energy = -1399 kJ/mol of formula units


# 3
The following is a DFT calculation (PBE) of a relaxed structure of LiLa2PbO6.

The structure in CIF format:
```
data_LiLa2PbO6
_cell_length_a 5.7397
_cell_length_b 6.0557
_cell_length_c 9.8400
_cell_angle_alpha 90.00
_cell_angle_beta 123.64
_cell_angle_gamma 90.00
_space_group_name_H-M_alt 'P 1 21/c 1'
_space_group_IT_number 14
_space_group_name_Hall '-P 2ybc'
loop_
_atom_site_label
_atom_site_fract_x
_atom_site_fract_y
_atom_site_fract_z
_atom_site_occupancy
Li1 0.0000 0.0000 0.0000 1
La1 0.2249 0.0658 0.7469 1
Pb1 0.5000 0.0000 0.5000 1
O1 0.1329 0.1890 0.4434 1
O2 0.2426 0.6969 0.4335 1
O3 0.3702 0.0547 0.2480 1
```

raw formation energy = -2112 kJ/mol of formula units


# 4
The following is a DFT calculation (PBE) of a relaxed structure of LiLa2Pd2O6.

The structure in CIF format:
```
data_LiLa2Pd2O6
_cell_length_a 5.8699
_cell_length_b 5.8699
_cell_length_c 16.0256
_cell_angle_alpha 90.00
_cell_angle_beta 90.00
_cell_angle_gamma 120.00
_space_group_name_H-M_alt 'R -3 m'
_space_group_IT_number 166
_space_group_name_Hall '-R 3 2"'
loop_
_atom_site_label
_atom_site_fract_x
_atom_site_fract_y
_atom_site_fract_z
_atom_site_occupancy
Li1 0.0000 0.0000 0.0000 1
La1 0.0000 0.0000 0.2116 1
Pd1 0.0000 0.0000 0.4104 1
O1 0.0481 0.5240 0.7602 1
```

raw formation energy = -1608 kJ/mol of formula units